Computed, not measured: crystalline ZrPF3 at its relaxed geometry at the PBE level of DFT.

a b c (Å): 4.3077 4.3077 4.3077
angles (deg): 90.00 90.00 90.00
Fractional coordinates of all 5 atoms:
Zr 0.0000 0.0000 0.0000
P 0.5000 0.5000 0.5000
F 0.0000 0.0000 0.5000
F 0.0000 0.5000 0.0000
F 0.5000 0.0000 0.0000

Values from the calculation:
The space-group type is Pm-3m (221). The calculation puts the total energy at -29.0 eV/cell. The value obtained for the uncorrected formation energy is -1892 meV per atom. For the total magnetization, the calculation gives 2.000 μB/cell.